Tl2VCo3F12: optimized geometry, GGA+U.

Unit cell a=7.542 b=7.542 c=7.542 alpha=58.38 beta=58.38 gamma=58.38
Each line ends with the local moment (μB).
Positions (direct):
Tl 0.598 0.598 0.598  0.00
Tl 0.402 0.402 0.402  0.00
V 0.000 0.000 0.000  1.03
Co 0.500 0.000 0.000  2.79
Co 0.000 0.500 0.000  2.79
Co 0.000 0.000 0.500  2.79
F 0.327 0.327 0.922  0.06
F 0.934 0.934 0.301  0.01
F 0.301 0.934 0.934  0.01
F 0.922 0.327 0.327  0.06
F 0.934 0.301 0.934  0.01
F 0.327 0.922 0.327  0.06
F 0.673 0.673 0.078  0.06
F 0.066 0.066 0.699  0.01
F 0.699 0.066 0.066  0.01
F 0.078 0.673 0.673  0.06
F 0.066 0.699 0.066  0.01
F 0.673 0.078 0.673  0.06

- Raw total energy: -5.007 eV/atom
- Mass density: 4.9 g cm⁻³
- Size of the total moment: 10.006 μB/f.u.